#A
The following is a GGA-PBEsol calculation of an optimized crystal structure of K2SrIr, from Alexandria.

Summary:
D(E_F): 2.3 states/eV per cell
Space group: No. 99
M_tot: 0.0 μB per cell

Cell and atoms, written as POSCAR:
```
K2SrIr
1.0
3.720 0.000 0.000
0.000 3.720 0.000
0.000 0.000 11.241
K Sr Ir
2 1 1
Direct
0.000 0.000 0.000
0.500 0.500 0.363
0.000 0.000 0.693
0.500 0.500 0.819
```

---

#B
The following is a GGA-PBEsol calculation of an optimized crystal structure of K2SrIr, from Alexandria.

Summary:
D(E_F): 3.1 states/eV per cell
Space group: No. 123
M_tot: 0.3 μB per cell

Cell and atoms, written as POSCAR:
```
K2SrIr
1.0
4.548 0.000 0.000
0.000 4.548 0.000
0.000 0.000 5.729
K Sr Ir
2 1 1
Direct
0.000 0.500 0.000
0.500 0.000 0.000
0.000 0.000 0.500
0.500 0.500 0.500
```

---

Most stable structure: #A

---

#A
The following is a GGA-PBEsol calculation of an optimized crystal structure of K2SrIr, from Alexandria.

Summary:
D(E_F): 6.4 states/eV per cell
Space group: No. 166
M_tot: 0.1 μB per cell

Cell and atoms, written as POSCAR:
```
K2SrIr
1.0
1.762 1.017 12.869
-1.762 1.017 12.869
0.000 -2.035 12.869
K Sr Ir
2 1 1
Direct
0.228 0.228 0.228
0.772 0.772 0.772
0.000 0.000 0.000
0.500 0.500 0.500
```

---

#B
The following is a GGA-PBEsol calculation of an optimized crystal structure of K2SrIr, from Alexandria.

Summary:
D(E_F): 3.2 states/eV per cell
Space group: No. 216
M_tot: 0.0 μB per cell

Cell and atoms, written as POSCAR:
```
K2SrIr
1.0
0.000 3.840 3.840
3.840 0.000 3.840
3.840 3.840 0.000
K Sr Ir
2 1 1
Direct
0.000 0.000 0.000
0.250 0.250 0.250
0.750 0.750 0.750
0.500 0.500 0.500
```

---

Most stable structure: #B

---

#A
The following is a GGA-PBEsol calculation of an optimized crystal structure of K2TlIr, from Alexandria.

Summary:
D(E_F): 2.4 states/eV per cell
Space group: No. 99
M_tot: 0.0 μB per cell

Cell and atoms, written as POSCAR:
```
K2TlIr
1.0
3.752 0.000 0.000
0.000 3.752 0.000
0.000 0.000 9.866
K Tl Ir
2 1 1
Direct
0.000 0.000 0.000
0.500 0.500 0.410
0.000 0.000 0.683
0.500 0.500 0.724
```

---

#B
The following is a GGA-PBEsol calculation of an optimized crystal structure of K2TlIr, from Alexandria.

Summary:
D(E_F): 1.7 states/eV per cell
Space group: No. 10
M_tot: 0.0 μB per cell

Cell and atoms, written as POSCAR:
```
K2TlIr
1.0
3.566 0.000 0.000
0.000 5.253 0.000
-0.782 0.000 5.477
K Tl Ir
2 1 1
Direct
0.097 0.000 0.268
0.903 0.000 0.732
0.500 0.500 0.000
0.500 0.500 0.500
```

---

Most stable structure: #A

---

#A
The following is a GGA-PBEsol calculation of an optimized crystal structure of K2TlIr, from Alexandria.

Summary:
D(E_F): 1.8 states/eV per cell
Space group: No. 139
M_tot: 0.0 μB per cell

Cell and atoms, written as POSCAR:
```
K2TlIr
1.0
-2.109 2.109 5.366
2.109 -2.109 5.366
2.109 2.109 -5.366
K Tl Ir
2 1 1
Direct
0.250 0.750 0.500
0.750 0.250 0.500
0.000 0.000 0.000
0.500 0.500 0.000
```

---

#B
The following is a GGA-PBEsol calculation of an optimized crystal structure of K2TlIr, from Alexandria.

Summary:
D(E_F): 1.7 states/eV per cell
Space group: No. 12
M_tot: 0.0 μB per cell

Cell and atoms, written as POSCAR:
```
K2TlIr
1.0
9.930 -1.612 0.000
9.930 1.612 0.000
-0.951 0.000 4.253
K Tl Ir
2 1 1
Direct
0.145 0.145 0.144
0.855 0.855 0.856
0.000 0.000 0.500
0.500 0.500 0.000
```

---

Most stable structure: #B